TmPaV (PBE, relaxed); E = -7.42 eV per atom; E_form = 0.83 eV per formula unit; mass density = 10.88 g/cm³; space group = C2/m, No. 12; M_tot = 0.0 Bohr magnetons per cell
1.0
5.836 -1.670 0.000
5.836 1.670 0.000
-3.629 0.000 7.063
Tm Pa V
2 2 2
Direct
0.102 0.102 0.382
0.898 0.898 0.618
0.366 0.366 0.990
0.634 0.634 0.010
0.335 0.335 0.269
0.665 0.665 0.731